PBE-GGA Tb3Sm12Dy5, optimized geometry; ΔH_f (0 K) = 99.03 kJ/mol of atoms; total moment = 0.01 μB per formula unit; space group = Ia-3d, No. 230; total energy = -3.650 eV per atom
1.0
-9.442 9.442 9.442
9.442 -9.442 9.442
9.442 9.442 -9.442
Tb Sm Dy
12 48 20
Cartesian
4.721 2.361 0.000 Tb
9.442 4.721 -2.361 Tb
2.361 0.000 4.721 Tb
11.803 0.000 4.721 Tb
0.000 4.721 2.361 Tb
4.721 -2.361 9.442 Tb
4.721 11.803 0.000 Tb
9.442 4.721 7.082 Tb
-2.361 9.442 4.721 Tb
7.082 9.442 4.721 Tb
0.000 4.721 11.803 Tb
4.721 7.082 9.442 Tb
9.272 -1.559 2.747 Sm
14.333 -1.974 3.163 Sm
2.747 -0.170 1.559 Sm
11.416 6.280 -4.891 Sm
12.189 0.170 1.559 Sm
11.416 -3.163 4.891 Sm
1.559 2.747 -0.170 Sm
12.605 4.551 -1.974 Sm
6.280 4.891 -1.974 Sm
7.884 2.747 0.170 Sm
-0.170 1.559 2.747 Sm
4.891 -1.974 6.280 Sm
9.272 7.884 -2.747 Sm
4.891 1.974 3.163 Sm
7.884 -2.747 9.272 Sm
6.280 -4.891 11.416 Sm
3.163 4.891 1.974 Sm
11.001 6.695 0.170 Sm
2.747 9.272 -1.559 Sm
11.416 3.163 4.551 Sm
1.974 3.163 4.891 Sm
2.747 0.170 7.884 Sm
4.891 11.416 -3.163 Sm
9.272 1.559 6.695 Sm
0.170 7.884 2.747 Sm
4.551 -1.974 12.605 Sm
6.695 9.272 1.559 Sm
7.468 6.280 4.551 Sm
-1.974 6.280 4.891 Sm
6.695 0.170 11.001 Sm
-1.559 2.747 9.272 Sm
6.280 4.551 7.468 Sm
3.163 14.333 -1.974 Sm
1.559 12.189 0.170 Sm
4.551 7.468 6.280 Sm
0.170 1.559 12.189 Sm
4.551 11.416 3.163 Sm
9.612 7.884 6.695 Sm
1.559 6.695 9.272 Sm
3.163 4.551 11.416 Sm
-3.163 4.891 11.416 Sm
7.884 6.695 9.612 Sm
-1.974 12.605 4.551 Sm
-2.747 9.272 7.884 Sm
-1.974 3.163 14.333 Sm
6.695 9.612 7.884 Sm
-4.891 11.416 6.280 Sm
0.170 11.001 6.695 Sm
0.000 0.000 0.000 Dy
4.721 4.721 -4.721 Dy
4.721 -4.721 4.721 Dy
9.442 0.000 0.000 Dy
14.163 2.361 0.000 Dy
9.442 -4.721 7.082 Dy
7.082 9.442 -4.721 Dy
7.082 0.000 4.721 Dy
4.721 7.082 0.000 Dy
9.442 4.721 2.361 Dy
-4.721 4.721 4.721 Dy
0.000 9.442 0.000 Dy
0.000 0.000 9.442 Dy
4.721 4.721 4.721 Dy
0.000 4.721 7.082 Dy
4.721 2.361 9.442 Dy
2.361 9.442 4.721 Dy
2.361 0.000 14.163 Dy
0.000 14.163 2.361 Dy
-4.721 7.082 9.442 Dy